# Li2YNb, optimized geometry, DFT PBE
# **ΔH_f (0 K)**: 0.509 eV per atom
# **D(E_F)**: 13.62 states/eV per cell
# **E above lowest polymorph**: 0 meV per atom
data_Li2YNb
_chemical_formula_sum 'Li8 Y4 Nb4'
_cell_length_a 6.828
_cell_length_b 6.828
_cell_length_c 6.828
_cell_angle_alpha 90.00
_cell_angle_beta 90.00
_cell_angle_gamma 90.00
_space_group_name_H-M_alt 'F m -3 m'
_space_group_IT_number 225
_space_group_name_Hall '-F 4 2 3'
loop_
_atom_site_label
_atom_site_type_symbol
_atom_site_fract_x
_atom_site_fract_y
_atom_site_fract_z
Li1 Li 0.250 0.250 0.250
Y1 Y 0.000 0.000 0.000
Nb1 Nb 0.000 0.000 0.500


# LiNbZn2, optimized geometry, DFT PBE
# **ΔH_f (0 K)**: 0.370 eV per atom
# **D(E_F)**: 6.78 states/eV per cell
# **E above lowest polymorph**: 484 meV per atom
data_LiNbZn2
_chemical_formula_sum 'Li4 Nb4 Zn8'
_cell_length_a 6.851
_cell_length_b 6.851
_cell_length_c 5.535
_cell_angle_alpha 90.00
_cell_angle_beta 90.00
_cell_angle_gamma 90.00
_space_group_name_H-M_alt 'I -4 2 d'
_space_group_IT_number 122
_space_group_name_Hall 'I -4 2bw'
loop_
_atom_site_label
_atom_site_type_symbol
_atom_site_fract_x
_atom_site_fract_y
_atom_site_fract_z
Li1 Li 0.000 0.000 0.000
Nb1 Nb 0.000 0.000 0.500
Zn1 Zn 0.223 0.250 0.125


# LiNbZn2, optimized geometry, DFT PBE
# **ΔH_f (0 K)**: 0.072 eV per atom
# **D(E_F)**: 6.18 states/eV per cell
# **E above lowest polymorph**: 187 meV per atom
data_LiNbZn2
_chemical_formula_sum 'Li4 Nb4 Zn8'
_cell_length_a 6.268
_cell_length_b 6.268
_cell_length_c 6.268
_cell_angle_alpha 90.00
_cell_angle_beta 90.00
_cell_angle_gamma 90.00
_space_group_name_H-M_alt 'F m -3 m'
_space_group_IT_number 225
_space_group_name_Hall '-F 4 2 3'
loop_
_atom_site_label
_atom_site_type_symbol
_atom_site_fract_x
_atom_site_fract_y
_atom_site_fract_z
Li1 Li 0.000 0.000 0.000
Nb1 Nb 0.000 0.000 0.500
Zn1 Zn 0.250 0.250 0.250


# LiNbZn2, optimized geometry, DFT PBE
# **ΔH_f (0 K)**: 0.011 eV per atom
# **D(E_F)**: 8.45 states/eV per cell
# **E above lowest polymorph**: 125 meV per atom
data_LiNbZn2
_chemical_formula_sum 'Li3 Nb3 Zn6'
_cell_length_a 2.8153
_cell_length_b 2.8153
_cell_length_c 28.3983
_cell_angle_alpha 90.00
_cell_angle_beta 90.00
_cell_angle_gamma 120.00
_space_group_name_H-M_alt 'R -3 m'
_space_group_IT_number 166
_space_group_name_Hall '-R 3 2"'
loop_
_atom_site_label
_atom_site_type_symbol
_atom_site_fract_x
_atom_site_fract_y
_atom_site_fract_z
Li1 Li 0.0000 0.0000 0.0000
Nb1 Nb 0.0000 0.0000 0.5000
Zn1 Zn 0.0000 0.0000 0.2525


# LiNbZn2, optimized geometry, DFT PBE
# **ΔH_f (0 K)**: -0.115 eV per atom
# **D(E_F)**: 1.62 states/eV per cell
# **E above lowest polymorph**: 0 meV per atom
data_LiNbZn2
_chemical_formula_sum 'Li1 Nb1 Zn2'
_cell_length_a 2.865
_cell_length_b 2.865
_cell_length_c 7.424
_cell_angle_alpha 90.00
_cell_angle_beta 90.00
_cell_angle_gamma 90.00
_space_group_name_H-M_alt 'P 4/m m m'
_space_group_IT_number 123
_space_group_name_Hall '-P 4 2'
loop_
_atom_site_label
_atom_site_type_symbol
_atom_site_fract_x
_atom_site_fract_y
_atom_site_fract_z
Li1 Li 0.000 0.000 0.000
Nb1 Nb 0.000 0.000 0.500
Zn1 Zn 0.500 0.500 0.231


# LiNbZn2, optimized geometry, DFT PBE
# **ΔH_f (0 K)**: -0.045 eV per atom
# **D(E_F)**: 2.72 states/eV per cell
# **E above lowest polymorph**: 70 meV per atom
data_LiNbZn2
_chemical_formula_sum 'Li1 Nb1 Zn2'
_cell_length_a 4.879
_cell_length_b 4.879
_cell_length_c 2.703
_cell_angle_alpha 90.00
_cell_angle_beta 90.00
_cell_angle_gamma 90.00
_space_group_name_H-M_alt 'P 4/m m m'
_space_group_IT_number 123
_space_group_name_Hall '-P 4 2'
loop_
_atom_site_label
_atom_site_type_symbol
_atom_site_fract_x
_atom_site_fract_y
_atom_site_fract_z
Li1 Li 0.000 0.000 0.000
Nb1 Nb 0.500 0.500 0.000
Zn1 Zn 0.000 0.500 0.500